[1]
The following is a DFT calculation (PBE) of crystalline Pm5Sb2Ir at its relaxed geometry.

Values from the calculation:
- Fermi-level density of states: 0.799 states/eV per atom
- Formation energy from raw total energies: -0.55 eV/atom

abc: 5.912 9.793 16.388
angles: 90.00 90.00 90.00
Space group Cmcm (No. 63)
Unique sites:
1 Pm 0.000 0.074 0.100 (multiplicity 8)
2 Pm 0.000 0.253 0.750 (multiplicity 4)
3 Pm 0.000 0.408 0.124 (multiplicity 8)
4 Sb 0.000 0.266 0.560 (multiplicity 8)
5 Ir 0.000 0.203 0.250 (multiplicity 4)

***

[2]
The following is a DFT calculation (PBE) of crystalline Mg2RhCl at its relaxed geometry.

Values from the calculation:
- Fermi-level density of states: 0.398 states/eV per atom
- Formation energy from raw total energies: -0.47 eV/atom

abc: 3.533 3.533 6.991
angles: 90.00 90.00 90.00
Space group P4mm (No. 99)
Unique sites:
1 Mg 0.000 0.000 0.000 (multiplicity 1)
2 Mg 0.500 0.500 0.294 (multiplicity 1)
3 Rh 0.000 0.000 0.360 (multiplicity 1)
4 Cl 0.500 0.500 0.838 (multiplicity 1)

***

[3]
The following is a DFT calculation (PBE) of crystalline Ga2Pd3Pt7 at its relaxed geometry.

Values from the calculation:
- DFT total energy: -5.556 eV per atom
- Fermi-level density of states: 1.110 states/eV per atom

abc: 4.981 2.792 13.790
angles: 90.00 99.43 90.00
Space group P2/m (No. 10)
Unique sites:
1 Ga 0.040 0.000 0.185 (multiplicity 2)
2 Pd 0.477 0.500 0.155 (multiplicity 2)
3 Pd 0.500 0.000 0.500 (multiplicity 1)
4 Pt 0.000 0.500 0.500 (multiplicity 1)
5 Pt 0.237 0.000 0.977 (multiplicity 2)
6 Pt 0.247 0.500 0.333 (multiplicity 2)
7 Pt 0.258 0.000 0.672 (multiplicity 2)

***

[4]
The following is a DFT calculation (PBE) of crystalline LaMg6 at its relaxed geometry.

Values from the calculation:
- DFT total energy: -1.492 eV per atom
- Fermi-level density of states: 0.807 states/eV per atom

abc: 7.692 7.692 7.692
angles: 90.00 90.00 90.00
Space group Im-3m (No. 229)
Unique sites:
1 La 0.000 0.000 0.000 (multiplicity 2)
2 Mg 0.000 0.250 0.500 (multiplicity 12)